(1)
{"formula": "NaPd3I", "functional": "GGA-PBE", "state": "optimized geometry", "e_above_lowest_polymorph_ev_per_atom": 0.0000, "e_form_raw_ev_per_atom": 0.184, "energy_ev_per_atom": -3.51, "cell": [[5.053, 0.000, 0.000], [0.000, 5.053, 0.000], [0.000, 0.000, 5.053]], "species": ["I", "Na", "Pd", "Pd", "Pd"], "fractional_positions": [[0.000, 0.000, 0.000], [0.500, 0.500, 0.500], [0.000, 0.500, 0.000], [0.000, 0.000, 0.500], [0.500, 0.000, 0.000]]}

***

(2)
{"formula": "Na2PdI", "functional": "GGA-PBE", "state": "optimized geometry", "e_above_lowest_polymorph_ev_per_atom": 0.0065, "e_form_raw_ev_per_atom": -0.253, "energy_ev_per_atom": -2.60, "cell": [[4.719, -0.748, 2.121], [0.541, -3.173, 4.119], [2.412, -4.606, -0.547]], "species": ["I", "Na", "Na", "Pd"], "fractional_positions": [[0.500, 0.500, 0.500], [0.250, 0.250, 0.250], [0.750, 0.750, 0.750], [0.000, 0.000, 0.000]]}

***

(3)
{"formula": "Rb2NaPdI6", "functional": "GGA-PBE", "state": "optimized geometry", "e_form_raw_ev_per_atom": -0.839, "energy_ev_per_atom": -2.61, "cell": [[8.344, 0.000, 0.000], [0.000, 8.344, 0.000], [4.172, 4.172, 5.889]], "species": ["I", "I", "I", "I", "I", "I", "Na", "Rb", "Rb", "Pd"], "fractional_positions": [[0.235, 0.235, 0.530], [0.765, 0.765, 0.470], [0.235, 0.235, 0.000], [0.765, 0.765, 0.000], [0.765, 0.235, 0.000], [0.235, 0.765, 0.000], [0.500, 0.500, 0.000], [0.750, 0.250, 0.500], [0.250, 0.750, 0.500], [0.000, 0.000, 0.000]]}

***

(4)
{"formula": "Na2RePdI", "functional": "GGA-PBE", "state": "optimized geometry", "e_form_raw_ev_per_atom": 1.125, "energy_ev_per_atom": -3.24, "cell": [[5.577, 0.000, 0.000], [0.000, 5.128, 0.000], [0.000, 0.000, 5.577]], "species": ["I", "Re", "Pd", "Na", "Na"], "fractional_positions": [[0.000, 0.500, 0.000], [0.500, 0.500, 0.500], [0.000, 0.000, 0.000], [0.000, 0.000, 0.500], [0.500, 0.000, 0.000]]}

***

(5)
{"formula": "NaPd2RuI", "functional": "GGA-PBE", "state": "optimized geometry", "e_form_raw_ev_per_atom": 0.732, "energy_ev_per_atom": -3.77, "cell": [[5.025, 0.000, 0.000], [0.000, 4.882, 0.000], [0.000, 0.000, 5.025]], "species": ["I", "Ru", "Pd", "Pd", "Na"], "fractional_positions": [[0.000, 0.000, 0.000], [0.000, 0.500, 0.000], [0.000, 0.000, 0.500], [0.500, 0.000, 0.000], [0.500, 0.500, 0.500]]}

***

(6)
{"formula": "NaSb2PdI", "functional": "GGA-PBE", "state": "optimized geometry", "e_above_lowest_polymorph_ev_per_atom": 0.9404, "e_form_raw_ev_per_atom": 0.887, "energy_ev_per_atom": -2.37, "cell": [[-0.624, -4.838, -2.320], [5.366, -0.567, -0.260], [-0.011, -2.405, 5.018]], "species": ["I", "Sb", "Sb", "Pd", "Na"], "fractional_positions": [[0.000, 0.000, 0.500], [0.000, 0.500, 0.000], [0.500, 0.000, 0.000], [0.500, 0.500, 0.500], [0.000, 0.000, 0.000]]}

***

(7)
{"formula": "NaSb2PdI", "functional": "GGA-PBE", "state": "optimized geometry", "e_above_lowest_polymorph_ev_per_atom": 0.0000, "e_form_raw_ev_per_atom": -0.053, "energy_ev_per_atom": -3.31, "cell": [[-4.865, -0.854, 0.699], [0.228, -3.870, -3.140], [1.993, -5.592, 7.035]], "species": ["I", "Sb", "Sb", "Pd", "Na"], "fractional_positions": [[0.000, 0.000, 0.500], [0.000, 0.500, 0.000], [0.500, 0.000, 0.000], [0.000, 0.000, 0.000], [0.500, 0.500, 0.500]]}

***

(8)
{"formula": "NaSbPdI2", "functional": "GGA-PBE", "state": "optimized geometry", "e_above_lowest_polymorph_ev_per_atom": 0.0000, "e_form_raw_ev_per_atom": -0.191, "energy_ev_per_atom": -2.94, "cell": [[-3.498, -4.670, -0.343], [3.992, -3.198, 2.828], [-2.132, 1.270, 4.447]], "species": ["I", "I", "Sb", "Pd", "Na"], "fractional_positions": [[0.000, 0.500, 0.000], [0.500, 0.000, 0.000], [0.000, 0.000, 0.500], [0.000, 0.000, 0.000], [0.500, 0.500, 0.500]]}